(1)
Density functional theory data (PBE) for an optimized crystal structure of ZrCo2W.

a b c (Å): 3.7135 3.7135 8.4820
angles (deg): 90.00 90.00 90.00
Positions (direct):
Zr1 0.0000 0.0000 0.0000
Zr2 0.5000 0.5000 0.5000
Co1 0.0000 0.0000 0.5000
Co2 0.0000 0.5000 0.7500
Co3 0.5000 0.0000 0.2500
Co4 0.5000 0.5000 0.0000
W1 0.0000 0.5000 0.2500
W2 0.5000 0.0000 0.7500

Calculated density (g/cm³): 11.16
ΔE_f (eV/atom): 0.16
Relative energy among the computed polymorphs (eV per formula unit): 0.86
Energy (eV per atom): -8.772
Space-group type: No. 119

(2)
Density functional theory data (PBE) for an optimized crystal structure of ZrCoW2.

a b c (Å): 9.4778 2.7510 5.1792
angles (deg): 90.00 103.30 90.00
Positions (direct):
Zr1 0.0000 0.0000 0.0000
Zr2 0.5000 0.5000 0.0000
Co1 0.2532 0.0000 0.8596
Co2 0.7532 0.5000 0.8596
W1 0.0634 0.5000 0.5313
W2 0.2932 0.5000 0.3371
W3 0.5634 0.0000 0.5313
W4 0.7932 0.0000 0.3371

Calculated density (g/cm³): 13.09
ΔE_f (eV/atom): 0.30
Relative energy among the computed polymorphs (eV per formula unit): 0.97
Energy (eV per atom): -10.088
Space-group type: No. 8

(3)
Density functional theory data (PBE) for an optimized crystal structure of Zr2CoW.

a b c (Å): 3.9045 3.9045 9.3598
angles (deg): 90.00 90.00 90.00
Positions (direct):
Zr1 0.0000 0.0000 0.0000
Zr2 0.0000 0.5000 0.2500
Zr3 0.5000 0.0000 0.7500
Zr4 0.5000 0.5000 0.5000
Co1 0.0000 0.5000 0.7500
Co2 0.5000 0.0000 0.2500
W1 0.0000 0.0000 0.5000
W2 0.5000 0.5000 0.0000

Calculated density (g/cm³): 9.90
ΔE_f (eV/atom): 0.20
Relative energy among the computed polymorphs (eV per formula unit): 1.03
Energy (eV per atom): -9.088
Space-group type: No. 119

(4)
Density functional theory data (PBE) for an optimized crystal structure of ZrCo2W.

a b c (Å): 3.0403 4.0388 5.0216
angles (deg): 90.00 107.39 90.00
Positions (direct):
Zr1 0.0000 0.0000 0.0000
Co1 0.5655 0.5000 0.1322
Co2 0.7330 0.0000 0.4726
W1 0.2820 0.5000 0.5666

Calculated density (g/cm³): 11.09
ΔE_f (eV/atom): -0.06
Relative energy among the computed polymorphs (eV per formula unit): 0.00
Energy (eV per atom): -8.986
Space-group type: No. 6

(5)
Density functional theory data (PBE) for an optimized crystal structure of Y4Co5.

a b c (Å): 6.6553 6.6553 6.6553
angles (deg): 95.91 95.91 142.58
Positions (direct):
Y1 0.0000 0.2850 0.2850
Y2 0.0000 0.7150 0.7150
Y3 0.2850 0.0000 0.2850
Y4 0.7150 0.0000 0.7150
Co1 0.0000 0.0000 0.0000
Co2 0.3592 0.3592 0.7184
Co3 0.3592 0.6408 0.0000
Co4 0.6408 0.3592 0.0000
Co5 0.6408 0.6408 0.2816

Calculated density (g/cm³): 6.36
ΔE_f (eV/atom): 0.06
Relative energy among the computed polymorphs (eV per formula unit): 0.00
Energy (eV per atom): -6.765
Space-group type: No. 139

(6)
Density functional theory data (PBE) for an optimized crystal structure of YCo3.

a b c (Å): 8.4342 8.4342 2.8574
angles (deg): 90.00 90.00 120.00
Positions (direct):
Y1 0.0000 0.0000 0.0000
Y2 0.3333 0.6667 0.6667
Y3 0.6667 0.3333 0.3333
Co1 0.0000 0.5000 0.0000
Co2 0.1667 0.3333 0.3333
Co3 0.1667 0.8333 0.3333
Co4 0.3333 0.1667 0.6667
Co5 0.5000 0.0000 0.0000
Co6 0.5000 0.5000 0.0000
Co7 0.6667 0.8333 0.3333
Co8 0.8333 0.1667 0.6667
Co9 0.8333 0.6667 0.6667

Calculated density (g/cm³): 7.52
ΔE_f (eV/atom): 0.36
Energy (eV per atom): -6.588
Space-group type: No. 166

(7)
Density functional theory data (PBE) for an optimized crystal structure of YCo4.

a b c (Å): 4.5691 4.5691 4.5691
angles (deg): 90.00 90.00 90.00
Positions (direct):
Y1 0.0000 0.0000 0.0000
Co1 0.0000 0.0000 0.5000
Co2 0.0000 0.5000 0.0000
Co3 0.5000 0.0000 0.0000
Co4 0.5000 0.5000 0.5000

Calculated density (g/cm³): 5.65
ΔE_f (eV/atom): 1.98
Relative energy among the computed polymorphs (eV per formula unit): 10.26
Energy (eV per atom): -4.996
Space-group type: No. 221

(8)
Density functional theory data (PBE) for an optimized crystal structure of YCo5.

a b c (Å): 3.9474 3.9474 6.4019
angles (deg): 90.00 90.00 120.00
Positions (direct):
Y1 0.0000 0.0000 0.0000
Co1 0.0000 0.0000 0.5000
Co2 0.3333 0.6667 0.3160
Co3 0.3333 0.6667 0.6840
Co4 0.6667 0.3333 0.3160
Co5 0.6667 0.3333 0.6840

Calculated density (g/cm³): 7.37
ΔE_f (eV/atom): 0.01
Energy (eV per atom): -6.994
Space-group type: No. 191

(9)
Density functional theory data (PBE) for an optimized crystal structure of YCo3.

a b c (Å): 3.5260 3.5260 6.3352
angles (deg): 90.00 90.00 120.00
Positions (direct):
Y1 0.0000 0.0000 0.0000
Co1 0.0000 0.0000 0.5000
Co2 0.6667 0.3333 0.3138
Co3 0.6667 0.3333 0.6862

Calculated density (g/cm³): 6.47
ΔE_f (eV/atom): 0.43
Energy (eV per atom): -6.514
Space-group type: No. 187

(10)
Density functional theory data (PBE) for an optimized crystal structure of YCo2.

a b c (Å): 3.6771 14.6703 3.9646
angles (deg): 90.00 90.00 90.00
Positions (direct):
Y1 0.0000 0.0952 0.2500
Y2 0.0000 0.9048 0.7500
Y3 0.5000 0.4048 0.7500
Y4 0.5000 0.5952 0.2500
Co1 0.0000 0.2510 0.7500
Co2 0.0000 0.3466 0.2500
Co3 0.0000 0.6534 0.7500
Co4 0.0000 0.7490 0.2500
Co5 0.5000 0.1534 0.7500
Co6 0.5000 0.2490 0.2500
Co7 0.5000 0.7510 0.7500
Co8 0.5000 0.8466 0.2500

Calculated density (g/cm³): 6.42
ΔE_f (eV/atom): 0.05
Energy (eV per atom): -6.840
Space-group type: No. 63

(11)
Density functional theory data (PBE) for an optimized crystal structure of Y5Co3.

a b c (Å): 8.7572 8.7572 8.7572
angles (deg): 132.28 132.28 69.79
Positions (direct):
Y1 0.0000 0.0000 0.0000
Y2 0.0340 0.5340 0.8553
Y3 0.1787 0.0340 0.5000
Y4 0.3213 0.8213 0.8553
Y5 0.4660 0.3213 0.5000
Y6 0.5000 0.5000 0.0000
Y7 0.5340 0.6787 0.5000
Y8 0.6787 0.1787 0.1447
Y9 0.8213 0.9660 0.5000
Y10 0.9660 0.4660 0.1447
Co1 0.1114 0.3886 0.5000
Co2 0.2500 0.2500 0.0000
Co3 0.3886 0.8886 0.2772
Co4 0.6114 0.1114 0.7228
Co5 0.7500 0.7500 0.0000
Co6 0.8886 0.6114 0.5000

Calculated density (g/cm³): 5.72
ΔE_f (eV/atom): -0.15
Relative energy among the computed polymorphs (eV per formula unit): 0.00
Energy (eV per atom): -6.851
Space-group type: No. 140

(12)
Density functional theory data (PBE) for an optimized crystal structure of YCo5.

a b c (Å): 4.9326 4.9326 3.9361
angles (deg): 90.00 90.00 120.00
Positions (direct):
Y1 0.0000 0.0000 0.0000
Co1 0.0000 0.5000 0.5000
Co2 0.3333 0.6667 0.0000
Co3 0.5000 0.0000 0.5000
Co4 0.5000 0.5000 0.5000
Co5 0.6667 0.3333 0.0000

Calculated density (g/cm³): 7.68
ΔE_f (eV/atom): -0.10
Energy (eV per atom): -7.104
Space-group type: No. 191

(13)
Density functional theory data (PBE) for an optimized crystal structure of YCo5.

a b c (Å): 3.0046 3.0046 9.0398
angles (deg): 90.00 90.00 90.00
Positions (direct):
Y1 0.0000 0.0000 0.0000
Co1 0.0000 0.0000 0.3605
Co2 0.0000 0.0000 0.6395
Co3 0.5000 0.5000 0.2252
Co4 0.5000 0.5000 0.5000
Co5 0.5000 0.5000 0.7748

Calculated density (g/cm³): 7.80
ΔE_f (eV/atom): 0.13
Energy (eV per atom): -6.864
Space-group type: No. 123

(14)
Density functional theory data (PBE) for an optimized crystal structure of YCo2.

a b c (Å): 4.7281 4.7281 8.9816
angles (deg): 90.00 90.00 90.00
Positions (direct):
Y1 0.0000 0.0000 0.2500
Y2 0.0000 0.0000 0.7500
Y3 0.5000 0.5000 0.2500
Y4 0.5000 0.5000 0.7500
Co1 0.1767 0.3233 0.0000
Co2 0.1767 0.6767 0.5000
Co3 0.3233 0.1767 0.5000
Co4 0.3233 0.8233 0.0000
Co5 0.6767 0.1767 0.0000
Co6 0.6767 0.8233 0.5000
Co7 0.8233 0.3233 0.5000
Co8 0.8233 0.6767 0.0000

Calculated density (g/cm³): 6.84
ΔE_f (eV/atom): 0.04
Energy (eV per atom): -6.852
Space-group type: No. 140

(15)
Density functional theory data (PBE) for an optimized crystal structure of YCo2.

a b c (Å): 9.5518 4.9679 4.1661
angles (deg): 90.00 90.00 90.00
Positions (direct):
Y1 0.0000 0.2435 0.2500
Y2 0.0000 0.7565 0.7500
Y3 0.5000 0.2565 0.7500
Y4 0.5000 0.7435 0.2500
Co1 0.2207 0.3677 0.7500
Co2 0.2207 0.6323 0.2500
Co3 0.2793 0.1323 0.2500
Co4 0.2793 0.8677 0.7500
Co5 0.7207 0.1323 0.2500
Co6 0.7207 0.8677 0.7500
Co7 0.7793 0.3677 0.7500
Co8 0.7793 0.6323 0.2500

Calculated density (g/cm³): 6.95
ΔE_f (eV/atom): -0.02
Energy (eV per atom): -6.908
Space-group type: No. 63

(16)
Density functional theory data (PBE) for an optimized crystal structure of YCo4.

a b c (Å): 7.9717 7.9717 2.7083
angles (deg): 90.00 90.00 90.00
Positions (direct):
Y1 0.0000 0.0000 0.0000
Y2 0.5000 0.5000 0.5000
Co1 0.0000 0.3299 0.0000
Co2 0.0000 0.6701 0.0000
Co3 0.1701 0.5000 0.5000
Co4 0.3299 0.0000 0.0000
Co5 0.5000 0.1701 0.5000
Co6 0.5000 0.8299 0.5000
Co7 0.6701 0.0000 0.0000
Co8 0.8299 0.5000 0.5000

Calculated density (g/cm³): 6.26
ΔE_f (eV/atom): 0.89
Relative energy among the computed polymorphs (eV per formula unit): 4.83
Energy (eV per atom): -6.083
Space-group type: No. 139

(17)
Density functional theory data (PBE) for an optimized crystal structure of Y7Co.

a b c (Å): 6.9082 6.9082 6.9082
angles (deg): 60.00 60.00 60.00
Positions (direct):
Y1 0.0000 0.0000 0.0000
Y2 0.0000 0.0000 0.5000
Y3 0.0000 0.5000 0.0000
Y4 0.0000 0.5000 0.5000
Y5 0.5000 0.0000 0.0000
Y6 0.5000 0.0000 0.5000
Y7 0.5000 0.5000 0.0000
Co1 0.5000 0.5000 0.5000

Calculated density (g/cm³): 4.85
ΔE_f (eV/atom): 0.22
Energy (eV per atom): -6.328
Space-group type: No. 225

(18)
Density functional theory data (PBE) for an optimized crystal structure of Y3Co5.

a b c (Å): 8.6803 8.6803 4.5115
angles (deg): 90.00 90.00 120.00
Positions (direct):
Y1 0.0000 0.3632 0.2500
Y2 0.0000 0.6368 0.7500
Y3 0.3632 0.0000 0.2500
Y4 0.3632 0.3632 0.7500
Y5 0.6368 0.0000 0.7500
Y6 0.6368 0.6368 0.2500
Co1 0.0000 0.1525 0.7500
Co2 0.0000 0.8475 0.2500
Co3 0.1525 0.0000 0.7500
Co4 0.1525 0.1525 0.2500
Co5 0.3333 0.6667 0.0000
Co6 0.3333 0.6667 0.5000
Co7 0.6667 0.3333 0.0000
Co8 0.6667 0.3333 0.5000
Co9 0.8475 0.0000 0.2500
Co10 0.8475 0.8475 0.7500

Calculated density (g/cm³): 6.33
ΔE_f (eV/atom): 0.09
Relative energy among the computed polymorphs (eV per formula unit): 0.00
Energy (eV per atom): -6.773
Space-group type: No. 193

(19)
Density functional theory data (PBE) for an optimized crystal structure of YCo3.

a b c (Å): 6.1106 6.1106 3.9599
angles (deg): 90.00 90.00 120.00
Positions (direct):
Y1 0.3333 0.6667 0.2500
Y2 0.6667 0.3333 0.7500
Co1 0.1305 0.2610 0.7500
Co2 0.1305 0.8695 0.7500
Co3 0.2610 0.1305 0.2500
Co4 0.7390 0.8695 0.7500
Co5 0.8695 0.1305 0.2500
Co6 0.8695 0.7390 0.2500

Calculated density (g/cm³): 6.89
ΔE_f (eV/atom): 0.05
Energy (eV per atom): -6.898
Space-group type: No. 194

(20)
Density functional theory data (PBE) for an optimized crystal structure of YCo2.

a b c (Å): 3.9541 3.9541 13.2657
angles (deg): 90.00 90.00 90.00
Positions (direct):
Y1 0.0000 0.2500 0.3750
Y2 0.0000 0.7500 0.6250
Y3 0.5000 0.2500 0.1250
Y4 0.5000 0.7500 0.8750
Co1 0.0000 0.2500 0.7907
Co2 0.0000 0.2500 0.9593
Co3 0.0000 0.7500 0.0407
Co4 0.0000 0.7500 0.2093
Co5 0.5000 0.2500 0.5407
Co6 0.5000 0.2500 0.7093
Co7 0.5000 0.7500 0.2907
Co8 0.5000 0.7500 0.4593

Calculated density (g/cm³): 6.62
ΔE_f (eV/atom): -0.16
Energy (eV per atom): -7.048
Space-group type: No. 141

(21)
Density functional theory data (PBE) for an optimized crystal structure of YCo3.

a b c (Å): 3.8436 3.8436 16.2371
angles (deg): 90.00 90.00 90.00
Positions (direct):
Y1 0.0000 0.0000 0.1200
Y2 0.0000 0.0000 0.8800
Y3 0.5000 0.5000 0.3800
Y4 0.5000 0.5000 0.6200
Co1 0.0000 0.0000 0.3475
Co2 0.0000 0.0000 0.6525
Co3 0.0000 0.5000 0.0000
Co4 0.0000 0.5000 0.2500
Co5 0.0000 0.5000 0.5000
Co6 0.0000 0.5000 0.7500
Co7 0.5000 0.0000 0.0000
Co8 0.5000 0.0000 0.2500
Co9 0.5000 0.0000 0.5000
Co10 0.5000 0.0000 0.7500
Co11 0.5000 0.5000 0.1525
Co12 0.5000 0.5000 0.8475

Calculated density (g/cm³): 7.36
ΔE_f (eV/atom): 0.20
Energy (eV per atom): -6.749
Space-group type: No. 139

(22)
Density functional theory data (PBE) for an optimized crystal structure of Y3Co5.

a b c (Å): 7.1118 7.1118 8.0863
angles (deg): 99.54 99.54 128.13
Positions (direct):
Y1 0.0000 0.0000 0.0000
Y2 0.0337 0.5341 0.1398
Y3 0.2345 0.9133 0.6398
Y4 0.5341 0.0337 0.1398
Y5 0.6381 0.6381 0.2799
Y6 0.9133 0.2345 0.6398
Co1 0.0626 0.2381 0.3420
Co2 0.2381 0.0626 0.3420
Co3 0.3604 0.5358 0.9370
Co4 0.3732 0.6653 0.4854
Co5 0.4015 0.4015 0.6384
Co6 0.5295 0.8207 0.7933
Co7 0.5358 0.3604 0.9370
Co8 0.6653 0.3732 0.4854
Co9 0.7635 0.7635 0.6407
Co10 0.8207 0.5295 0.7933

Calculated density (g/cm³): 6.26
ΔE_f (eV/atom): 0.11
Relative energy among the computed polymorphs (eV per formula unit): 0.14
Energy (eV per atom): -6.756
Space-group type: No. 8

(23)
Density functional theory data (PBE) for an optimized crystal structure of YCo4.

a b c (Å): 5.6576 5.6576 4.5090
angles (deg): 90.00 90.00 90.00
Positions (direct):
Y1 0.0000 0.0000 0.0000
Y2 0.5000 0.5000 0.5000
Co1 0.0000 0.3010 0.5000
Co2 0.0000 0.6990 0.5000
Co3 0.1990 0.5000 0.0000
Co4 0.3010 0.0000 0.5000
Co5 0.5000 0.1990 0.0000
Co6 0.5000 0.8010 0.0000
Co7 0.6990 0.0000 0.5000
Co8 0.8010 0.5000 0.0000

Calculated density (g/cm³): 7.47
ΔE_f (eV/atom): 0.10
Relative energy among the computed polymorphs (eV per formula unit): 0.86
Energy (eV per atom): -6.876
Space-group type: No. 139

(24)
Density functional theory data (PBE) for an optimized crystal structure of YCo2.

a b c (Å): 10.7216 3.9187 5.2801
angles (deg): 90.00 108.58 90.00
Positions (direct):
Y1 0.1788 0.0000 0.2032
Y2 0.3212 0.5000 0.7968
Y3 0.6788 0.5000 0.2032
Y4 0.8212 0.0000 0.7968
Co1 0.0228 0.5000 0.7529
Co2 0.0994 0.0000 0.6549
Co3 0.4006 0.5000 0.3451
Co4 0.4772 0.0000 0.2471
Co5 0.5228 0.0000 0.7529
Co6 0.5994 0.5000 0.6549
Co7 0.9006 0.0000 0.3451
Co8 0.9772 0.5000 0.2471

Calculated density (g/cm³): 6.53
ΔE_f (eV/atom): 0.00
Energy (eV per atom): -6.891
Space-group type: No. 12

(25)
Density functional theory data (PBE) for an optimized crystal structure of YCo.

a b c (Å): 5.5287 5.5287 5.4082
angles (deg): 90.00 90.00 90.00
Positions (direct):
Y1 0.2033 0.2033 0.0000
Y2 0.2967 0.7033 0.5000
Y3 0.7033 0.2967 0.5000
Y4 0.7967 0.7967 0.0000
Co1 0.1629 0.1629 0.5000
Co2 0.3371 0.6629 0.0000
Co3 0.6629 0.3371 0.0000
Co4 0.8371 0.8371 0.5000

Calculated density (g/cm³): 5.94
ΔE_f (eV/atom): 0.19
Energy (eV per atom): -6.594
Space-group type: No. 136